# PBE K4Pm3HfS8, optimized geometry
# Magnetic moment, μB per cell: 0.0
data_K4Pm3HfS8
_symmetry_space_group_name_H-M 'R -3 m'
_symmetry_Int_Tables_number 166
_symmetry_space_group_name_Hall '-R 3 2"'
_cell_length_a 8.1028
_cell_length_b 8.1028
_cell_length_c 22.1944
_cell_angle_alpha 90.00
_cell_angle_beta 90.00
_cell_angle_gamma 120.00
loop_
_atom_site_label
_atom_site_type_symbol
_atom_site_fract_x
_atom_site_fract_y
_atom_site_fract_z
K1 K 0.0000 0.0000 0.0000
K2 K 0.0000 0.5000 0.0000
Pm1 Pm 0.0000 0.5000 0.5000
Hf1 Hf 0.0000 0.0000 0.5000
S1 S 0.0000 0.0000 0.2377
S2 S 0.0238 0.5119 0.2336

---

# PBE K2PmHfSe4, optimized geometry
# Magnetic moment, μB per cell: 0.0
data_K2PmHfSe4
_symmetry_space_group_name_H-M 'P 1 2/m 1'
_symmetry_Int_Tables_number 10
_cell_length_a 7.138
_cell_length_b 4.080
_cell_length_c 8.079
_cell_angle_alpha 90.00
_cell_angle_beta 106.76
_cell_angle_gamma 90.00
loop_
_symmetry_equiv_pos_as_xyz
'x,y,z'
'-x,-y,-z'
'-x,y,-z'
'x,-y,z'
loop_
_atom_site_label
_atom_site_type_symbol
_atom_site_fract_x
_atom_site_fract_y
_atom_site_fract_z
K1 K 0.000 0.000 0.000
K2 K 0.500 0.500 0.000
Pm1 Pm 0.000 0.500 0.500
Hf1 Hf 0.500 0.000 0.500
Se1 Se 0.258 0.000 0.709
Se2 Se 0.286 0.500 0.300

---

# PBE K4Pm3HfSe8, optimized geometry
# Magnetic moment, μB per cell: 0.0
data_K4Pm3HfSe8
_symmetry_space_group_name_H-M 'R -3 m'
_symmetry_Int_Tables_number 166
_symmetry_space_group_name_Hall '-R 3 2"'
_cell_length_a 8.4162
_cell_length_b 8.4162
_cell_length_c 23.1544
_cell_angle_alpha 90.00
_cell_angle_beta 90.00
_cell_angle_gamma 120.00
loop_
_atom_site_label
_atom_site_type_symbol
_atom_site_fract_x
_atom_site_fract_y
_atom_site_fract_z
K1 K 0.0000 0.0000 0.0000
K2 K 0.0000 0.5000 0.0000
Pm1 Pm 0.0000 0.5000 0.5000
Hf1 Hf 0.0000 0.0000 0.5000
Se1 Se 0.0000 0.0000 0.2386
Se2 Se 0.0220 0.5110 0.2349

---

# PBE K3Pm2HfSe6, optimized geometry
# Magnetic moment, μB per cell: 0.0
data_K3Pm2HfSe6
_symmetry_space_group_name_H-M 'C 1 2/m 1'
_symmetry_Int_Tables_number 12
_cell_length_a 7.224
_cell_length_b 12.516
_cell_length_c 8.091
_cell_angle_alpha 90.00
_cell_angle_beta 107.43
_cell_angle_gamma 90.00
loop_
_symmetry_equiv_pos_as_xyz
'x,y,z'
'-x,-y,-z'
'-x,y,-z'
'x,-y,z'
'x+1/2,y+1/2,z'
'-x+1/2,-y+1/2,-z'
'-x+1/2,y+1/2,-z'
'x+1/2,-y+1/2,z'
loop_
_atom_site_label
_atom_site_type_symbol
_atom_site_fract_x
_atom_site_fract_y
_atom_site_fract_z
K1 K 0.000 0.000 0.000
K2 K 0.000 0.328 0.000
Pm1 Pm 0.000 0.166 0.500
Hf1 Hf 0.000 0.500 0.500
Se1 Se 0.224 0.345 0.706
Se2 Se 0.241 0.500 0.293

---

Sequential V output: 26.29, 28.16, 29.59, 29.08 Å³/atom
Sequential raw formation energy output: -1.739, -1.487, -1.617, -1.576 eV/atom
Sequential ρ output: 4052, 5289, 4916, 5041 kg/m³